(1)
VASP calculation (PBE) on a relaxed structure of CdCo.

extended XYZ file:
```
4
Lattice="2.816 0.000 0.000 0.000 4.493 0.000 0.000 0.000 4.981" Properties=species:S:1:pos:R:3 pbc="T T T"
Co 1.408 0.000 2.437
Cd 1.408 2.246 4.015
Co 0.000 2.246 1.713
Cd 0.000 0.000 0.135
```

Computed properties:
Formation enthalpy at 0 K = 413 meV per atom
SG = No. 59

(2)
VASP calculation (PBE) on a relaxed structure of NpTi3.

extended XYZ file:
```
4
Lattice="4.182 0.000 0.000 0.000 4.182 0.000 0.000 0.000 4.182" Properties=species:S:1:pos:R:3 pbc="T T T"
Ti 0.000 2.091 2.091
Ti 2.091 0.000 2.091
Np 0.000 0.000 0.000
Ti 2.091 2.091 0.000
```

Computed properties:
Formation enthalpy at 0 K = 234 meV per atom
SG = No. 221
Excess energy over the best structure of this formula in the dataset = 0.0751 eV/atom

(3)
VASP calculation (PBE) on a relaxed structure of BaY2Pt.

extended XYZ file:
```
4
Lattice="-3.120 -1.915 1.871 3.021 -0.696 4.326 -1.682 4.613 1.917" Properties=species:S:1:pos:R:3 pbc="T T T"
Pt 0.669 1.959 3.121
Y -0.050 -1.305 3.098
Y 0.000 0.000 0.000
Ba -2.401 1.349 1.894
```

Computed properties:
Formation enthalpy at 0 K = -76 meV per atom
SG = No. 47
Excess energy over the best structure of this formula in the dataset = 0.4617 eV/atom

(4)
VASP calculation (PBE) on a relaxed structure of CaAcCeN3.

extended XYZ file:
```
12
Lattice="-1.488 -2.415 2.079 6.372 -2.843 1.258 1.066 6.172 7.929" Properties=species:S:1:pos:R:3 pbc="T T T"
Ac 0.794 0.362 2.476
N 5.617 0.680 6.296
N 1.576 3.936 7.186
Ca 1.385 2.343 5.199
N 4.393 3.237 8.390
Ac 5.156 0.552 8.791
Ca 4.565 -1.429 6.068
N 1.557 -2.323 2.877
N 4.374 -3.022 4.081
Ce 2.120 2.604 9.002
Ce 3.829 -1.690 2.265
N 0.333 0.234 4.971
```

Computed properties:
SG = No. 11
ΔE_f (raw) = -1012 meV per atom

(5)
VASP calculation (PBE) on a relaxed structure of Cd2Pd8Pb.

extended XYZ file:
```
11
Lattice="3.896 0.000 -1.183 -0.979 7.250 -3.224 0.130 -1.084 7.434" Properties=species:S:1:pos:R:3 pbc="T T T"
Pd 2.240 2.647 0.372
Pd 0.555 0.888 1.828
Pd 2.492 5.278 1.199
Pd 1.745 6.313 -1.259
Cd 0.003 4.412 0.008
Pb 1.948 0.000 -0.591
Pd 1.301 -0.148 4.285
Pd 0.806 3.519 2.655
Cd 3.044 1.753 3.018
Pd -0.610 4.392 4.998
Pd 3.656 1.773 -1.972
```

Computed properties:
Formation enthalpy at 0 K = -187 meV per atom
SG = No. 71
Excess energy over the best structure of this formula in the dataset = 0.0808 eV/atom

(6)
VASP calculation (PBE) on a relaxed structure of LaRh.

extended XYZ file:
```
12
Lattice="-0.058 4.235 8.425 -4.476 -8.216 -1.178 3.516 -2.068 1.064" Properties=species:S:1:pos:R:3 pbc="T T T"
Rh 0.667 -2.705 5.066
Rh -3.021 -5.796 2.893
La -0.065 1.219 6.764
La -1.847 -2.050 6.295
La -0.042 -0.466 3.411
Rh 2.003 -0.252 5.418
Rh 0.650 -1.441 7.582
La -0.952 -7.268 1.547
Rh -1.685 -3.343 3.245
La -0.975 -5.583 4.900
Rh -1.667 -4.608 0.729
La 0.829 -3.999 2.016
```

Computed properties:
Formation enthalpy at 0 K = -643 meV per atom
SG = No. 194

(7)
VASP calculation (PBE) on a relaxed structure of Pm7Pr3Y2.

extended XYZ file:
```
12
Lattice="3.596 0.000 0.000 0.000 6.472 0.769 0.000 2.461 18.239" Properties=species:S:1:pos:R:3 pbc="T T T"
Pr 1.798 3.236 0.385
Pr 0.000 1.574 6.268
Pr 0.000 7.359 12.741
Y 1.798 4.802 6.479
Pm 1.798 2.804 9.339
Pm 0.000 0.000 0.000
Pm 1.798 0.779 3.111
Y 1.798 4.131 12.529
Pm 0.000 4.058 3.486
Pm 0.000 4.875 15.522
Pm 1.798 6.129 9.669
Pm 1.798 8.154 15.897
```

Computed properties:
Formation enthalpy at 0 K = 75 meV per atom
SG = No. 10
Excess energy over the best structure of this formula in the dataset = 0.0000 eV/atom

(8)
VASP calculation (PBE) on a relaxed structure of Li6SI2N.

extended XYZ file:
```
20
Lattice="-0.429 -4.984 4.272 -0.545 -3.974 -4.690 8.935 -0.961 -0.223" Properties=species:S:1:pos:R:3 pbc="T T T"
Li -0.613 -5.884 0.813
Li 1.648 -3.202 -3.569
Li 4.342 -1.886 0.910
I 2.001 -1.223 -1.226
Li 2.060 -3.745 0.903
Li -0.634 -5.061 -3.576
I 5.982 -6.183 -1.547
Li 3.891 -6.047 0.794
Li -0.386 -3.253 -1.442
Li 4.139 -4.239 2.927
I 1.707 -5.723 -1.440
Li 4.094 -3.693 -1.224
I 6.662 -1.725 -1.343
S -0.351 -3.485 0.963
S 4.059 -3.461 -3.630
Li -0.860 -7.691 -1.321
N -0.409 -2.980 -3.518
Li 6.173 -4.187 0.800
N 4.117 -3.966 0.852
Li 6.470 -3.720 -3.690
```

Computed properties:
SG = No. 71
ΔE_f (raw) = -822 meV per atom

(9)
VASP calculation (PBE) on a relaxed structure of Tm12Ni2Pd5.

extended XYZ file:
```
19
Lattice="7.211 0.000 0.000 -3.605 7.939 0.212 0.000 -2.552 8.436" Properties=species:S:1:pos:R:3 pbc="T T T"
Ni 5.046 0.000 0.000
Tm 1.891 2.423 0.880
Tm 1.714 2.964 7.769
Tm 5.320 2.423 0.880
Ni 2.165 0.000 0.000
Tm 3.605 -0.658 2.176
Tm 0.000 -1.905 6.863
Tm 0.000 6.045 6.473
Tm -1.714 2.964 7.769
Pd 0.000 -1.276 4.218
Tm -1.835 4.475 3.794
Pd 0.000 3.123 5.503
Tm 1.835 4.475 3.794
Pd 0.000 4.529 1.508
Tm 5.440 0.912 4.855
Tm 3.605 7.293 1.786
Pd 3.605 0.858 7.141
Tm 1.771 0.912 4.855
Pd 3.605 2.265 3.146
```

Computed properties:
Formation enthalpy at 0 K = -510 meV per atom
SG = No. 12

(10)
VASP calculation (PBE) on a relaxed structure of NiIrW2.

extended XYZ file:
```
4
Lattice="2.751 0.019 0.000 -0.018 2.751 0.000 0.000 0.000 7.699" Properties=species:S:1:pos:R:3 pbc="T T T"
Ni 1.366 1.385 5.766
Ir 0.000 0.000 3.912
W 1.366 1.385 2.041
W 0.000 0.000 7.527
```

Computed properties:
Formation enthalpy at 0 K = -5 meV per atom
SG = No. 99

(11)
VASP calculation (PBE) on a relaxed structure of Ce5FePb2.

extended XYZ file:
```
8
Lattice="7.071 0.000 0.000 0.000 7.158 0.017 -3.535 -3.568 4.347" Properties=species:S:1:pos:R:3 pbc="T T T"
Ce -1.742 -1.841 4.276
Ce 5.311 5.258 0.212
Fe 0.000 0.389 0.405
Pb 3.536 0.066 2.203
Ce 3.536 3.800 1.693
Ce 1.743 -1.840 4.276
Ce 1.761 5.258 0.212
Pb 0.000 3.267 2.235
```

Computed properties:
Formation enthalpy at 0 K = -165 meV per atom
SG = No. 8

(12)
VASP calculation (PBE) on a relaxed structure of Li3CrPb.

extended XYZ file:
```
5
Lattice="5.105 0.000 0.000 0.000 5.105 0.000 0.000 0.000 5.105" Properties=species:S:1:pos:R:3 pbc="T T T"
Li 2.553 0.000 0.000
Cr 2.553 2.553 2.553
Pb 0.000 0.000 0.000
Li 0.000 0.000 2.553
Li 0.000 2.553 0.000
```

Computed properties:
Formation enthalpy at 0 K = 567 meV per atom
SG = No. 221
Excess energy over the best structure of this formula in the dataset = 0.0000 eV/atom